VASP calculation (PBE) on crystalline LiFeRe2 at its relaxed geometry.

The structure in CIF format:
```
data_LiFeRe2
_chemical_formula_sum 'Li4 Fe4 Re8'
_cell_length_a 5.9472
_cell_length_b 5.9472
_cell_length_c 5.9472
_cell_angle_alpha 90.00
_cell_angle_beta 90.00
_cell_angle_gamma 90.00
_symmetry_space_group_name_H-M 'F -4 3 m'
_symmetry_Int_Tables_number 216
_symmetry_space_group_name_Hall 'F -4 2 3'
loop_
_atom_site_label
_atom_site_type_symbol
_atom_site_fract_x
_atom_site_fract_y
_atom_site_fract_z
Li1 Li 0.0000 0.0000 0.0000
Fe1 Fe 0.2500 0.2500 0.7500
Re1 Re 0.0000 0.0000 0.5000
Re2 Re 0.2500 0.2500 0.2500
```

Formation energy ... 207 meV/atom
DOS(E_F) ... 14.4 states/eV per cell
Relative energy among the computed polymorphs ... 0 meV per atom
Total magnetic moment ... 3.61 Bohr magnetons per cell
Crystal system ... cubic